{"formula": "Ba3MgOs", "functional": "PBE", "state": "relaxed", "lattice_angstrom": [[6.390, 0.000, 0.000], [0.000, 6.390, 0.000], [0.000, 0.000, 6.390]], "species": ["Ba", "Ba", "Ba", "Mg", "Os"], "fractional_positions": [[0.000, 0.000, 0.500], [0.000, 0.500, 0.000], [0.500, 0.000, 0.000], [0.000, 0.000, 0.000], [0.500, 0.500, 0.500]], "rho_g_cm3": 3.99, "delta_e_f_ev_per_fu": 6.98, "magmom_total_mub_per_fu": 2.0, "spacegroup": "No. 221"}

=====

{"formula": "Rb2SnHW", "functional": "PBE", "state": "relaxed", "lattice_angstrom": [[5.080, 0.000, 0.000], [0.000, 5.080, 0.000], [0.000, 0.000, 5.263]], "species": ["Rb", "Rb", "Sn", "H", "W"], "fractional_positions": [[0.000, 0.500, 0.000], [0.500, 0.000, 0.000], [0.000, 0.000, 0.500], [0.500, 0.500, 0.000], [0.500, 0.500, 0.500]], "rho_g_cm3": 5.80, "total_energy_ha_per_atom": -0.121, "magmom_total_mub_per_fu": 2.9, "spacegroup": "No. 123"}

=====

{"formula": "Mg3Cd12Hg", "functional": "PBE", "state": "relaxed", "lattice_angstrom": [[4.468, 0.000, 0.000], [0.000, 4.468, 0.000], [0.000, 0.000, 17.857]], "species": ["Mg", "Mg", "Mg", "Cd", "Cd", "Cd", "Cd", "Cd", "Cd", "Cd", "Cd", "Cd", "Cd", "Cd", "Cd", "Hg"], "fractional_positions": [[0.000, 0.000, 0.000], [0.000, 0.000, 0.246], [0.000, 0.000, 0.754], [0.000, 0.500, 0.124], [0.000, 0.500, 0.371], [0.000, 0.500, 0.629], [0.000, 0.500, 0.876], [0.500, 0.000, 0.124], [0.500, 0.000, 0.371], [0.500, 0.000, 0.629], [0.500, 0.000, 0.876], [0.500, 0.500, 0.000], [0.500, 0.500, 0.247], [0.500, 0.500, 0.500], [0.500, 0.500, 0.753], [0.000, 0.000, 0.500]], "rho_g_cm3": 7.56, "delta_e_f_ev_per_fu": -0.60, "magmom_total_mub_per_fu": 0.0, "spacegroup": "No. 123"}

=====

{"formula": "Si2PRu", "functional": "PBE", "state": "relaxed", "lattice_angstrom": [[-2.749, 2.749, 5.006], [2.749, -2.749, 5.006], [2.749, 2.749, -5.006]], "species": ["Si", "Si", "Si", "Si", "P", "P", "Ru", "Ru"], "fractional_positions": [[0.124, 0.625, 0.999], [0.375, 0.374, 0.499], [0.626, 0.125, 0.001], [0.875, 0.876, 0.501], [0.250, 0.750, 0.500], [0.500, 0.500, 0.000], [0.000, 0.000, 0.000], [0.750, 0.250, 0.500]], "raw_formation_energy_ev_per_atom": 0.079, "rho_g_cm3": 4.13, "magmom_total_mub_per_fu": 0.0, "spacegroup": "No. 122"}

=====

{"formula": "YMgAg", "functional": "PBE", "state": "relaxed", "lattice_angstrom": [[13.740, 0.000, 0.000], [0.000, 4.021, 0.000], [0.000, 0.000, 7.849]], "species": ["Y", "Y", "Y", "Y", "Y", "Y", "Mg", "Mg", "Mg", "Mg", "Mg", "Mg", "Ag", "Ag", "Ag", "Ag", "Ag", "Ag"], "fractional_positions": [[0.044, 0.000, 0.234], [0.250, 0.000, 0.843], [0.456, 0.000, 0.234], [0.544, 0.000, 0.766], [0.750, 0.000, 0.157], [0.956, 0.000, 0.766], [0.118, 0.500, 0.563], [0.250, 0.500, 0.198], [0.382, 0.500, 0.563], [0.618, 0.500, 0.437], [0.750, 0.500, 0.802], [0.882, 0.500, 0.437], [0.097, 0.500, 0.941], [0.250, 0.000, 0.446], [0.403, 0.500, 0.941], [0.597, 0.500, 0.059], [0.750, 0.000, 0.554], [0.903, 0.500, 0.059]], "rho_g_cm3": 5.08, "delta_e_f_ev_per_fu": -0.78, "magmom_total_mub_per_fu": 0.0, "spacegroup": "No. 51"}

=====

{"formula": "Cr2Os2W", "functional": "PBE", "state": "relaxed", "lattice_angstrom": [[7.209, 0.000, 0.000], [0.000, 7.209, 0.000], [0.000, 0.000, 2.720]], "species": ["Cr", "Cr", "Cr", "Cr", "Os", "Os", "Os", "Os", "W", "W"], "fractional_positions": [[0.168, 0.332, 0.000], [0.332, 0.832, 0.000], [0.668, 0.168, 0.000], [0.832, 0.668, 0.000], [0.131, 0.631, 0.500], [0.369, 0.131, 0.500], [0.631, 0.869, 0.500], [0.869, 0.369, 0.500], [0.000, 0.000, 0.500], [0.500, 0.500, 0.500]], "rho_g_cm3": 15.70, "delta_e_f_ev_per_fu": 1.21, "magmom_total_mub_per_fu": 0.0, "spacegroup": "No. 127"}

=====

{"formula": "HfNb2Pd", "functional": "PBE", "state": "relaxed", "lattice_angstrom": [[0.000, 3.303, 3.303], [3.303, 0.000, 3.303], [3.303, 3.303, 0.000]], "species": ["Hf", "Nb", "Nb", "Pd"], "fractional_positions": [[0.000, 0.000, 0.000], [0.250, 0.250, 0.250], [0.750, 0.750, 0.750], [0.500, 0.500, 0.500]], "rho_g_cm3": 10.84, "delta_e_f_ev_per_fu": 0.06, "polymorph_energy_mev_per_atom": 275, "magmom_total_mub_per_fu": 0.0, "spacegroup": "No. 225"}

=====

{"formula": "Tl2GePd2", "functional": "PBE", "state": "relaxed", "lattice_angstrom": [[6.600, 0.000, 0.000], [0.000, 6.600, 0.000], [0.000, 0.000, 4.948]], "species": ["Tl", "Tl", "Tl", "Tl", "Ge", "Ge", "Pd", "Pd", "Pd", "Pd"], "fractional_positions": [[0.169, 0.331, 0.000], [0.331, 0.831, 0.000], [0.669, 0.169, 0.000], [0.831, 0.669, 0.000], [0.000, 0.000, 0.500], [0.500, 0.500, 0.500], [0.153, 0.653, 0.500], [0.347, 0.153, 0.500], [0.653, 0.847, 0.500], [0.847, 0.347, 0.500]], "rho_g_cm3": 10.70, "delta_e_f_ev_per_fu": -0.27, "magmom_total_mub_per_fu": 0.0, "spacegroup": "No. 127"}

=====

{"formula": "CaRe2Au", "functional": "PBE", "state": "relaxed", "lattice_angstrom": [[2.784, -4.779, 0.000], [2.784, 4.779, 0.000], [0.000, 0.000, 2.647]], "species": ["Ca", "Re", "Re", "Au"], "fractional_positions": [[0.000, 0.000, 0.000], [0.000, 0.500, 0.500], [0.500, 0.000, 0.500], [0.500, 0.500, 0.000]], "rho_g_cm3": 14.37, "delta_e_f_ev_per_fu": 2.69, "polymorph_energy_mev_per_atom": 513, "magmom_total_mub_per_fu": 0.0, "spacegroup": "No. 65"}

=====

{"formula": "HoMgCuSi", "functional": "PBE", "state": "relaxed", "lattice_angstrom": [[0.000, 3.338, 3.338], [3.338, 0.000, 3.338], [3.338, 3.338, 0.000]], "species": ["Ho", "Mg", "Cu", "Si"], "fractional_positions": [[0.000, 0.000, 0.000], [0.500, 0.500, 0.500], [0.250, 0.250, 0.250], [0.750, 0.750, 0.750]], "raw_formation_energy_ev_per_atom": -0.304, "rho_g_cm3": 6.27, "magmom_total_mub_per_fu": 0.0, "spacegroup": "No. 216"}

=====

{"formula": "Na2CuPb", "functional": "PBE", "state": "relaxed", "lattice_angstrom": [[-4.734, 4.734, 2.563], [4.734, -4.734, 2.563], [4.734, 4.734, -2.563]], "species": ["Na", "Na", "Na", "Na", "Cu", "Cu", "Pb", "Pb"], "fractional_positions": [[0.028, 0.125, 0.403], [0.375, 0.972, 0.097], [0.722, 0.625, 0.597], [0.875, 0.278, 0.903], [0.000, 0.000, 0.000], [0.750, 0.250, 0.500], [0.250, 0.750, 0.500], [0.500, 0.500, 0.000]], "rho_g_cm3": 4.58, "delta_e_f_ev_per_fu": 0.78, "magmom_total_mub_per_fu": 0.0, "spacegroup": "No. 122"}

=====

Number 1: D(E_F) 0.65 states/eV/atom. Number 2: D(E_F) 0.33 states/eV/atom. Number 3: D(E_F) 0.44 states/eV/atom. Number 4: D(E_F) 0.69 states/eV/atom. Number 5: D(E_F) 0.88 states/eV/atom. Number 6: D(E_F) 1.15 states/eV/atom. Number 7: D(E_F) 0.71 states/eV/atom. Number 8: D(E_F) 0.55 states/eV/atom. Number 9: D(E_F) 0.77 states/eV/atom. Number 10: D(E_F) 0.52 states/eV/atom. Number 11: D(E_F) 0.54 states/eV/atom.